A relaxed Li2InOs crystal. Source: Alexandria via LeMat-Bulk, functional PBE-GGA.

It has space group Cmm2 (No. 35), with a = 3.153 Å, b = 4.673 Å, c = 9.339 Å, α = 90.00°, β = 90.00° and γ = 90.00°. The inequivalent atoms are Li at (0.000, 0.000, 0.000), Li at (0.000, 0.500, 0.275), In at (0.000, 0.000, 0.528) and Os at (0.000, 0.500, 0.776).

As for the raw total energy: -4.14 eV/atom. The energy relative to the elements comes out at 0.30 eV/atom. The value obtained for the size of the total moment is 0.14 μB/atom.